Material: MoPOF2
Method: DFT, PBE+U
State: relaxed

offset from the most stable computed form	0.153	eV per atom
total energy	-4.958	eV/atom

a b c (Å): 4.4431 4.4431 3.5665
angles (deg): 90.00 90.00 90.00
With the nearest neighbours (Å) after each atom.
Element x y z (fractional)
P1 0.0000 0.0000 0.0000  2 O 1.78
Mo1 0.5000 0.5000 0.5000  8 F 2.85, 4 O 3.14
O1 0.0000 0.0000 0.5000  2 P 1.78
F1 0.0000 0.5000 0.0000  2 P 2.22
F2 0.5000 0.0000 0.0000  2 P 2.22